The following is a DFT calculation (GGA-PBE) of a relaxed Tm8Co2Rh crystal.

Properties
* calculated formation energy: -0.280 eV/atom
* V: 256.71 Å³ per cell
* SG: C2/m, No. 12

Lattice parameters (Å, degrees): 8.7426 8.7426 6.5934 106.55 106.55 32.23
Closest atoms and distances in Å follow each position.
Atoms (fractional coordinates):
1 Tm 0.0357 0.0357 0.2905  1 Co 2.76, 2 Rh 2.94
2 Tm 0.2016 0.2016 0.8206  1 Co 2.61
3 Tm 0.3275 0.3275 0.5262  1 Co 2.67, 1 Rh 2.95
4 Tm 0.4043 0.4043 0.0444  1 Rh 2.96, 2 Co 3.07, 4 Tm 3.27-3.29
5 Tm 0.5957 0.5957 0.9556  1 Rh 2.96, 2 Co 3.07, 4 Tm 3.27-3.29
6 Tm 0.6725 0.6725 0.4738  1 Co 2.67, 1 Rh 2.95
7 Tm 0.7984 0.7984 0.1794  1 Co 2.61
8 Tm 0.9643 0.9643 0.7095  1 Co 2.76, 2 Rh 2.94
9 Co 0.1868 0.1868 0.2043  3 Tm 2.61-2.76
10 Co 0.8132 0.8132 0.7957  3 Tm 2.61-2.76
11 Rh 0.5000 0.5000 0.5000  8 Tm 2.94-2.96